(1)
PmBeAs2O8 | GGA-PBE | optimized geometry

The space group is P-1 (No. 2) and the conventional cell measures 4.751, 4.757 and 6.062 Å, with angles of 91.24, 91.37 and 98.54 degrees. Symmetry generates all atoms from Pm at (0.000, 0.000, 0.000), Be at (0.000, 0.000, 0.500), As at (0.492, 0.491, 0.736), O at (0.206, 0.199, 0.704), O at (0.226, 0.214, 0.291), O at (0.315, 0.677, 0.500) and O at (0.331, 0.660, 0.001).

As for the uncorrected energy: -75.6 eV per formula unit. The density of states at the Fermi level comes out at 4.39 states/eV/f.u. As for the formation energy without anion corrections: -146 kJ per mole of atoms.

=====

(2)
PrBe2AsO8 | GGA-PBE | optimized geometry

The space group is P-3 (No. 147) and the conventional cell measures 4.6968, 4.6968 and 6.8269 Å, with angles of 90.00, 90.00 and 120.00 degrees. Symmetry generates all atoms from Pr at (0.0000, 0.0000, 0.0000), Be at (0.3333, 0.6667, 0.7277), As at (0.0000, 0.0000, 0.5000), O at (0.0314, 0.3163, 0.6695) and O at (0.3333, 0.6667, 0.9685).

As for the uncorrected energy: -74.9 eV per formula unit. The density of states at the Fermi level comes out at 4.93 states/eV/f.u. As for the formation energy without anion corrections: -148 kJ per mole of atoms.

=====

(3)
PrBe4As3O12 | GGA-PBE | optimized geometry

The space group is R32 (No. 155, hexagonal axes) and the conventional cell measures 9.9422, 9.9422 and 7.5440 Å, with angles of 90.00, 90.00 and 120.00 degrees. Symmetry generates all atoms from Pr at (0.0000, 0.0000, 0.0000), Be at (0.0000, 0.0000, 0.5000), Be at (0.0000, 0.4367, 0.5000), As at (0.0000, 0.5561, 0.0000), O at (0.0000, 0.5951, 0.5000), O at (0.0000, 0.8418, 0.5000) and O at (0.0434, 0.2176, 0.1910).

As for the uncorrected energy: -130.8 eV per formula unit. The density of states at the Fermi level comes out at 2.78 states/eV/f.u. As for the formation energy without anion corrections: -182 kJ per mole of atoms.

=====

(4)
PrBeAs2O8 | GGA-PBE | optimized geometry

The space group is P-1 (No. 2) and the conventional cell measures 4.550, 5.059 and 7.201 Å, with angles of 83.40, 87.93 and 69.37 degrees. Symmetry generates all atoms from Pr at (0.000, 0.000, 0.000), Be at (0.000, 0.000, 0.500), As at (0.399, 0.347, 0.285), O at (0.195, 0.776, 0.695), O at (0.222, 0.704, 0.288), O at (0.277, 0.171, 0.479) and O at (0.352, 0.255, 0.069).

As for the uncorrected energy: -78.4 eV per formula unit. As for the formation energy without anion corrections: -168 kJ per mole of atoms.

=====

(5)
BeAsPtO2 | GGA-PBE | optimized geometry

The space group is P4/mmm (No. 123) and the conventional cell measures 3.435, 3.435 and 5.598 Å, with angles of 90.00, 90.00 and 90.00 degrees. Symmetry generates all atoms from Be at (0.000, 0.000, 0.000), As at (0.500, 0.500, 0.500), Pt at (0.000, 0.000, 0.500) and O at (0.000, 0.500, 0.000).

As for the uncorrected energy: -25.8 eV per formula unit. The density of states at the Fermi level comes out at 4.03 states/eV/f.u. As for the formation energy without anion corrections: -29 kJ per mole of atoms.

=====

(6)
PuBe2AsO8 | GGA-PBE | optimized geometry

The space group is P-3 (No. 147) and the conventional cell measures 4.9478, 4.9478 and 6.1289 Å, with angles of 90.00, 90.00 and 120.00 degrees. Symmetry generates all atoms from Pu at (0.0000, 0.0000, 0.0000), Be at (0.3333, 0.6667, 0.7527), As at (0.0000, 0.0000, 0.5000), O at (0.0888, 0.3140, 0.6949) and O at (0.3333, 0.6667, 0.0166).

As for the uncorrected energy: -85.4 eV per formula unit. The density of states at the Fermi level comes out at 10.39 states/eV/f.u. As for the formation energy without anion corrections: -155 kJ per mole of atoms.

=====

(7)
RbBe2As2O6 | GGA-PBE | optimized geometry

The space group is P-1 (No. 2) and the conventional cell measures 4.972, 6.188 and 6.673 Å, with angles of 108.31, 111.43 and 91.82 degrees. Symmetry generates all atoms from Rb at (0.000, 0.000, 0.000), Be at (0.302, 0.711, 0.500), As at (0.331, 0.420, 0.755), O at (0.022, 0.694, 0.289), O at (0.299, 0.695, 0.728) and O at (0.391, 0.260, 0.508).

As for the uncorrected energy: -66.6 eV per formula unit. The density of states at the Fermi level comes out at 0.53 states/eV/f.u. As for the formation energy without anion corrections: -168 kJ per mole of atoms.

=====

(8)
Rb2BeAsO | GGA-PBE | optimized geometry

The space group is P4/mmm (No. 123) and the conventional cell measures 6.786, 6.786 and 3.923 Å, with angles of 90.00, 90.00 and 90.00 degrees. Symmetry generates all atoms from Rb at (0.000, 0.500, 0.000), Be at (0.000, 0.000, 0.500), As at (0.500, 0.500, 0.000) and O at (0.500, 0.500, 0.500).

As for the uncorrected energy: -13.8 eV per formula unit. The density of states at the Fermi level comes out at 4.02 states/eV/f.u. As for the formation energy without anion corrections: 28 kJ per mole of atoms.

=====

(9)
RbBe4As3O12 | GGA-PBE | optimized geometry

The space group is R32 (No. 155, hexagonal axes) and the conventional cell measures 9.8926, 9.8926 and 7.3257 Å, with angles of 90.00, 90.00 and 120.00 degrees. Symmetry generates all atoms from Rb at (0.0000, 0.0000, 0.0000), Be at (0.0000, 0.0000, 0.5000), Be at (0.0000, 0.4309, 0.5000), As at (0.0000, 0.5565, 0.0000), O at (0.0000, 0.5956, 0.5000), O at (0.0000, 0.8388, 0.5000) and O at (0.0509, 0.2291, 0.2066).

As for the uncorrected energy: -123.0 eV per formula unit. The density of states at the Fermi level comes out at 0.00 states/eV/f.u. As for the formation energy without anion corrections: -163 kJ per mole of atoms.

=====

(10)
ScBe2AsO6 | GGA-PBE | optimized geometry

The space group is C2/c (No. 15) and the conventional cell measures 9.797, 8.381 and 5.456 Å, with angles of 90.00, 114.12 and 90.00 degrees. Symmetry generates all atoms from Sc at (0.000, 0.102, 0.250), Be at (0.199, 0.429, 0.141), As at (0.000, 0.286, 0.750), O at (0.094, 0.273, 0.109), O at (0.119, 0.101, 0.691) and O at (0.149, 0.435, 0.805).

As for the uncorrected energy: -71.3 eV per formula unit. The density of states at the Fermi level comes out at 0.00 states/eV/f.u. As for the formation energy without anion corrections: -223 kJ per mole of atoms.

=====

(11)
BeAs2SeO | GGA-PBE | optimized geometry

The space group is P4/mmm (No. 123) and the conventional cell measures 4.203, 4.203 and 4.821 Å, with angles of 90.00, 90.00 and 90.00 degrees. Symmetry generates all atoms from Be at (0.000, 0.000, 0.000), As at (0.000, 0.500, 0.500), Se at (0.500, 0.500, 0.000) and O at (0.500, 0.500, 0.500).

Its energy relative to the lowest polymorph listed for this composition is 0.00 eV per formula unit. As for the uncorrected energy: -18.3 eV per formula unit. The density of states at the Fermi level comes out at 3.49 states/eV/f.u. As for the formation energy without anion corrections: 61 kJ per mole of atoms.

=====

(12)
SmBe4As3O12 | GGA-PBE | optimized geometry

The space group is R32 (No. 155, hexagonal axes) and the conventional cell measures 9.9154, 9.9154 and 7.4829 Å, with angles of 90.00, 90.00 and 120.00 degrees. Symmetry generates all atoms from Sm at (0.0000, 0.0000, 0.0000), Be at (0.0000, 0.0000, 0.5000), Be at (0.0000, 0.4379, 0.5000), As at (0.0000, 0.5558, 0.0000), O at (0.0000, 0.5964, 0.5000), O at (0.0000, 0.8419, 0.5000) and O at (0.0424, 0.2150, 0.1879).

As for the uncorrected energy: -130.9 eV per formula unit. The density of states at the Fermi level comes out at 2.80 states/eV/f.u. As for the formation energy without anion corrections: -183 kJ per mole of atoms.